# CdNiH (GGA-PBE, optimized geometry)
data_CdNiH
_space_group_name_H-M_alt 'P 3 m 1'
_space_group_IT_number 156
_cell_length_a 2.9235
_cell_length_b 2.9235
_cell_length_c 4.5913
_cell_angle_alpha 90.00
_cell_angle_beta 90.00
_cell_angle_gamma 120.00
loop_
_space_group_symop_operation_xyz
'x,y,z'
'-y,x-y,z'
'-x+y,-x,z'
'-y,-x,z'
'-x+y,y,z'
'x,x-y,z'
loop_
_atom_site_label
_atom_site_fract_x
_atom_site_fract_y
_atom_site_fract_z
Cd1 0.0000 0.0000 0.0000
Ni1 0.6667 0.3333 0.4997
H1 0.3333 0.6667 0.5013
# crystal system = trigonal
# E = -0.2449 Ry per atom